No. 1
VASP calculation (PBE) on a relaxed Sm2TlRh crystal.

Cell lengths 8.549, 8.549, 8.549 Å; angles 27.12, 27.12, 27.12 degrees
Fractional coordinates of all 4 atoms:
Sm (0.000, 0.000, 0.000)
Sm (0.203, 0.203, 0.203)
Tl (0.768, 0.768, 0.768)
Rh (0.602, 0.602, 0.602)

Properties
* total moment: 0.00 Bohr magnetons per cell
* distance to the lowest polymorph of the same formula: 0.067 eV per atom

=====

No. 2
VASP calculation (PBE) on a relaxed Sm8TlRh2 crystal.

Cell lengths 8.149, 8.149, 5.592 Å; angles 97.78, 97.78, 115.15 degrees
Fractional coordinates of all 11 atoms:
Sm (0.079, 0.331, 0.565)
Sm (0.246, 0.754, 0.000)
Sm (0.331, 0.079, 0.565)
Sm (0.394, 0.394, 0.194)
Sm (0.606, 0.606, 0.806)
Sm (0.669, 0.921, 0.435)
Sm (0.754, 0.246, 0.000)
Sm (0.921, 0.669, 0.435)
Tl (0.000, 0.000, 0.000)
Rh (0.296, 0.704, 0.500)
Rh (0.704, 0.296, 0.500)

Properties
* total moment: 0.00 Bohr magnetons per cell

=====

No. 3
VASP calculation (PBE) on a relaxed SmTmTlRh crystal.

Cell lengths 3.507, 3.507, 7.830 Å; angles 90.00, 90.00, 90.00 degrees
Fractional coordinates of all 4 atoms:
Sm (0.000, 0.000, 0.000)
Tm (0.000, 0.000, 0.575)
Tl (0.500, 0.500, 0.298)
Rh (0.500, 0.500, 0.769)

Properties
* total moment: 0.00 Bohr magnetons per cell
* distance to the lowest polymorph of the same formula: 0.000 eV per atom

=====

No. 4
VASP calculation (PBE) on a relaxed SmTmTlRh crystal.

Cell lengths 5.138, 5.138, 5.138 Å; angles 60.00, 60.00, 60.00 degrees
Fractional coordinates of all 4 atoms:
Sm (0.000, 0.000, 0.000)
Tm (0.500, 0.500, 0.500)
Tl (0.250, 0.250, 0.250)
Rh (0.750, 0.750, 0.750)

Properties
* total moment: 0.00 Bohr magnetons per cell
* distance to the lowest polymorph of the same formula: 0.131 eV per atom

=====

No. 5
VASP calculation (PBE) on a relaxed SmYTlRh crystal.

Cell lengths 3.563, 3.563, 7.746 Å; angles 90.00, 90.00, 90.00 degrees
Fractional coordinates of all 4 atoms:
Sm (0.000, 0.000, 0.000)
Y (0.000, 0.000, 0.570)
Tl (0.500, 0.500, 0.291)
Rh (0.500, 0.500, 0.777)

Properties
* total moment: 0.00 Bohr magnetons per cell
* distance to the lowest polymorph of the same formula: 0.000 eV per atom

=====

No. 6
VASP calculation (PBE) on a relaxed SmYTlRh crystal.

Cell lengths 5.176, 5.176, 5.176 Å; angles 60.00, 60.00, 60.00 degrees
Fractional coordinates of all 4 atoms:
Sm (0.000, 0.000, 0.000)
Y (0.500, 0.500, 0.500)
Tl (0.250, 0.250, 0.250)
Rh (0.750, 0.750, 0.750)

Properties
* total moment: 0.00 Bohr magnetons per cell
* distance to the lowest polymorph of the same formula: 0.114 eV per atom

=====

No. 7
VASP calculation (PBE) on a relaxed Sm2TlZn2Rh5 crystal.

Cell lengths 9.753, 9.753, 3.754 Å; angles 90.00, 90.00, 90.00 degrees
Fractional coordinates of all 20 atoms:
Sm (0.176, 0.324, 0.000)
Sm (0.324, 0.824, 0.000)
Sm (0.676, 0.176, 0.000)
Sm (0.824, 0.676, 0.000)
Tl (0.000, 0.000, 0.000)
Tl (0.500, 0.500, 0.000)
Zn (0.121, 0.621, 0.000)
Zn (0.379, 0.121, 0.000)
Zn (0.621, 0.879, 0.000)
Zn (0.879, 0.379, 0.000)
Rh (0.000, 0.500, 0.500)
Rh (0.069, 0.790, 0.500)
Rh (0.210, 0.069, 0.500)
Rh (0.290, 0.569, 0.500)
Rh (0.431, 0.290, 0.500)
Rh (0.500, 0.000, 0.500)
Rh (0.569, 0.710, 0.500)
Rh (0.710, 0.431, 0.500)
Rh (0.790, 0.931, 0.500)
Rh (0.931, 0.210, 0.500)

Properties
* total moment: 0.00 Bohr magnetons per cell

=====

No. 8
VASP calculation (PBE) on a relaxed Sm5Tl2ZnRh2 crystal.

Cell lengths 11.849, 11.849, 3.736 Å; angles 90.00, 90.00, 90.00 degrees
Fractional coordinates of all 20 atoms:
Sm (0.000, 0.500, 0.000)
Sm (0.076, 0.200, 0.000)
Sm (0.200, 0.924, 0.000)
Sm (0.300, 0.424, 0.000)
Sm (0.424, 0.700, 0.000)
Sm (0.500, 0.000, 0.000)
Sm (0.576, 0.300, 0.000)
Sm (0.700, 0.576, 0.000)
Sm (0.800, 0.076, 0.000)
Sm (0.924, 0.800, 0.000)
Tl (0.174, 0.674, 0.500)
Tl (0.326, 0.174, 0.500)
Tl (0.674, 0.826, 0.500)
Tl (0.826, 0.326, 0.500)
Zn (0.000, 0.000, 0.500)
Zn (0.500, 0.500, 0.500)
Rh (0.132, 0.368, 0.500)
Rh (0.368, 0.868, 0.500)
Rh (0.632, 0.132, 0.500)
Rh (0.868, 0.632, 0.500)

Properties
* total moment: 0.00 Bohr magnetons per cell

=====

No. 9
VASP calculation (PBE) on a relaxed SmTm2Rh3 crystal.

Cell lengths 4.834, 4.834, 5.924 Å; angles 90.00, 90.00, 120.00 degrees
Fractional coordinates of all 6 atoms:
Sm (0.000, 0.000, 0.000)
Tm (0.333, 0.667, 0.663)
Tm (0.667, 0.333, 0.337)
Rh (0.000, 0.000, 0.500)
Rh (0.333, 0.667, 0.175)
Rh (0.667, 0.333, 0.825)

Properties
* total moment: 0.00 Bohr magnetons per cell

=====

No. 10
VASP calculation (PBE) on a relaxed Sm3Tm4Rh4 crystal.

Cell lengths 9.220, 9.220, 9.220 Å; angles 156.07, 123.17, 62.54 degrees
Fractional coordinates of all 11 atoms:
Sm (0.000, 0.000, 0.000)
Sm (0.397, 0.897, 0.500)
Sm (0.603, 0.103, 0.500)
Tm (0.022, 0.333, 0.689)
Tm (0.355, 0.667, 0.689)
Tm (0.645, 0.333, 0.311)
Tm (0.978, 0.667, 0.311)
Rh (0.244, 0.244, 0.000)
Rh (0.283, 0.500, 0.783)
Rh (0.717, 0.500, 0.217)
Rh (0.756, 0.756, 0.000)

Properties
* total moment: 0.00 Bohr magnetons per cell

=====

No. 11
VASP calculation (PBE) on a relaxed SmTmRh4 crystal.

Cell lengths 5.346, 5.346, 5.346 Å; angles 60.00, 60.00, 60.00 degrees
Fractional coordinates of all 6 atoms:
Sm (0.000, 0.000, 0.000)
Tm (0.250, 0.250, 0.250)
Rh (0.126, 0.625, 0.625)
Rh (0.625, 0.126, 0.625)
Rh (0.625, 0.625, 0.126)
Rh (0.625, 0.625, 0.625)

Properties
* total moment: 0.00 Bohr magnetons per cell

=====

No. 12
VASP calculation (PBE) on a relaxed Sm2TmRh crystal.

Cell lengths 3.568, 3.568, 8.607 Å; angles 90.00, 90.00, 90.00 degrees
Fractional coordinates of all 4 atoms:
Sm (0.000, 0.000, 0.193)
Sm (0.000, 0.000, 0.807)
Tm (0.500, 0.500, 0.500)
Rh (0.500, 0.500, 0.000)

Properties
* total moment: 0.01 Bohr magnetons per cell
* distance to the lowest polymorph of the same formula: 0.189 eV per atom

=====

No. 13
VASP calculation (PBE) on a relaxed Sm2TmRh4 crystal.

Cell lengths 8.250, 8.250, 8.250 Å; angles 33.13, 33.13, 33.13 degrees
Fractional coordinates of all 7 atoms:
Sm (0.239, 0.239, 0.239)
Sm (0.761, 0.761, 0.761)
Tm (0.000, 0.000, 0.000)
Rh (0.118, 0.118, 0.118)
Rh (0.373, 0.373, 0.373)
Rh (0.627, 0.627, 0.627)
Rh (0.882, 0.882, 0.882)

Properties
* total moment: 0.00 Bohr magnetons per cell

=====

No. 14
VASP calculation (PBE) on a relaxed Sm2TmRh crystal.

Cell lengths 6.653, 6.352, 11.399 Å; angles 90.00, 90.00, 90.00 degrees
Fractional coordinates of all 16 atoms:
Sm (0.091, 0.246, 0.088)
Sm (0.091, 0.254, 0.412)
Sm (0.409, 0.746, 0.412)
Sm (0.409, 0.754, 0.088)
Sm (0.591, 0.246, 0.912)
Sm (0.591, 0.254, 0.588)
Sm (0.909, 0.746, 0.588)
Sm (0.909, 0.754, 0.912)
Tm (0.070, 0.250, 0.750)
Tm (0.430, 0.750, 0.750)
Tm (0.570, 0.250, 0.250)
Tm (0.930, 0.750, 0.250)
Rh (0.250, 0.000, 0.590)
Rh (0.250, 0.500, 0.910)
Rh (0.750, 0.000, 0.410)
Rh (0.750, 0.500, 0.090)

Properties
* total moment: 0.00 Bohr magnetons per cell
* distance to the lowest polymorph of the same formula: 0.103 eV per atom

=====

No. 15
VASP calculation (PBE) on a relaxed Sm2Tm2Rh3 crystal.

Cell lengths 4.371, 5.904, 7.440 Å; angles 80.63, 89.95, 68.29 degrees
Fractional coordinates of all 7 atoms:
Sm (0.132, 0.235, 0.355)
Sm (0.868, 0.765, 0.645)
Tm (0.361, 0.777, 0.070)
Tm (0.639, 0.223, 0.930)
Rh (0.000, 0.500, 0.000)
Rh (0.193, 0.115, 0.735)
Rh (0.807, 0.885, 0.265)

Properties
* total moment: 0.00 Bohr magnetons per cell
* distance to the lowest polymorph of the same formula: 0.110 eV per atom

=====

No. 16
VASP calculation (PBE) on a relaxed Sm2TmRh crystal.

Cell lengths 10.777, 10.777, 10.777 Å; angles 19.50, 19.50, 19.50 degrees
Fractional coordinates of all 4 atoms:
Sm (0.109, 0.109, 0.109)
Sm (0.891, 0.891, 0.891)
Tm (0.000, 0.000, 0.000)
Rh (0.500, 0.500, 0.500)

Properties
* total moment: 0.00 Bohr magnetons per cell
* distance to the lowest polymorph of the same formula: 0.407 eV per atom

=====

No. 17
VASP calculation (PBE) on a relaxed SmTmRh2 crystal.

Cell lengths 4.867, 4.867, 4.867 Å; angles 120.12, 120.12, 89.80 degrees
Fractional coordinates of all 4 atoms:
Sm (0.000, 0.000, 0.000)
Tm (0.500, 0.500, 0.000)
Rh (0.250, 0.750, 0.500)
Rh (0.750, 0.250, 0.500)

Properties
* total moment: 0.00 Bohr magnetons per cell

=====

No. 18
VASP calculation (PBE) on a relaxed SmTmRh crystal.

Cell lengths 6.903, 5.933, 10.309 Å; angles 90.00, 128.79, 90.00 degrees
Fractional coordinates of all 12 atoms:
Sm (0.187, 0.135, 0.383)
Sm (0.187, 0.365, 0.883)
Sm (0.813, 0.635, 0.117)
Sm (0.813, 0.865, 0.617)
Tm (0.334, 0.620, 0.630)
Tm (0.334, 0.880, 0.130)
Tm (0.666, 0.120, 0.870)
Tm (0.666, 0.380, 0.370)
Rh (0.334, 0.667, 0.364)
Rh (0.334, 0.833, 0.864)
Rh (0.666, 0.167, 0.136)
Rh (0.666, 0.333, 0.636)

Properties
* total moment: 0.00 Bohr magnetons per cell
* distance to the lowest polymorph of the same formula: 0.029 eV per atom

=====

No. 19
VASP calculation (PBE) on a relaxed SmTmRh crystal.

Cell lengths 6.763, 6.763, 6.763 Å; angles 150.32, 150.32, 42.47 degrees
Fractional coordinates of all 3 atoms:
Sm (0.000, 0.000, 0.000)
Tm (0.737, 0.737, 0.000)
Rh (0.359, 0.359, 0.000)

Properties
* total moment: 0.00 Bohr magnetons per cell
* distance to the lowest polymorph of the same formula: 0.026 eV per atom

=====

No. 20
VASP calculation (PBE) on a relaxed SmTmRh crystal.

Cell lengths 5.807, 4.255, 7.181 Å; angles 90.00, 111.89, 90.00 degrees
Fractional coordinates of all 6 atoms:
Sm (0.011, 0.000, 0.249)
Sm (0.989, 0.000, 0.751)
Tm (0.490, 0.500, 0.751)
Tm (0.510, 0.500, 0.249)
Rh (0.000, 0.500, 0.500)
Rh (0.500, 0.000, 0.000)

Properties
* total moment: 0.00 Bohr magnetons per cell
* distance to the lowest polymorph of the same formula: 0.011 eV per atom

=====

No. 21
VASP calculation (PBE) on a relaxed SmTmRh crystal.

Cell lengths 5.737, 4.489, 6.476 Å; angles 90.00, 106.89, 90.00 degrees
Fractional coordinates of all 6 atoms:
Sm (0.071, 0.250, 0.285)
Sm (0.929, 0.750, 0.715)
Tm (0.477, 0.250, 0.800)
Tm (0.523, 0.750, 0.200)
Rh (0.344, 0.750, 0.556)
Rh (0.656, 0.250, 0.444)

Properties
* total moment: 0.00 Bohr magnetons per cell
* distance to the lowest polymorph of the same formula: 0.000 eV per atom

=====

No. 22
VASP calculation (PBE) on a relaxed SmTmRh crystal.

Cell lengths 4.025, 4.025, 6.190 Å; angles 90.00, 90.00, 120.00 degrees
Fractional coordinates of all 3 atoms:
Sm (0.000, 0.000, 0.000)
Tm (0.667, 0.333, 0.480)
Rh (0.333, 0.667, 0.252)

Properties
* total moment: 0.00 Bohr magnetons per cell
* distance to the lowest polymorph of the same formula: 0.069 eV per atom

=====

No. 23
VASP calculation (PBE) on a relaxed Sm2TmRh9 crystal.

Cell lengths 9.365, 9.365, 9.365 Å; angles 32.65, 32.65, 32.65 degrees
Fractional coordinates of all 12 atoms:
Sm (0.138, 0.138, 0.138)
Sm (0.862, 0.862, 0.862)
Tm (0.000, 0.000, 0.000)
Rh (0.082, 0.581, 0.581)
Rh (0.333, 0.333, 0.333)
Rh (0.419, 0.419, 0.918)
Rh (0.419, 0.918, 0.419)
Rh (0.500, 0.500, 0.500)
Rh (0.581, 0.082, 0.581)
Rh (0.581, 0.581, 0.082)
Rh (0.667, 0.667, 0.667)
Rh (0.918, 0.419, 0.419)

Properties
* total moment: 0.00 Bohr magnetons per cell

=====

No. 24
VASP calculation (PBE) on a relaxed Sm3TmRh crystal.

Cell lengths 5.500, 5.500, 5.500 Å; angles 90.00, 90.00, 90.00 degrees
Fractional coordinates of all 5 atoms:
Sm (0.000, 0.000, 0.500)
Sm (0.000, 0.500, 0.000)
Sm (0.500, 0.000, 0.000)
Tm (0.500, 0.500, 0.500)
Rh (0.000, 0.000, 0.000)

Properties
* total moment: 0.00 Bohr magnetons per cell

=====

No. 25
VASP calculation (PBE) on a relaxed Sm2Tm2Rh3 crystal.

Cell lengths 4.778, 4.778, 8.570 Å; angles 106.11, 106.11, 59.94 degrees
Fractional coordinates of all 7 atoms:
Sm (0.123, 0.123, 0.371)
Sm (0.877, 0.877, 0.629)
Tm (0.373, 0.373, 0.121)
Tm (0.627, 0.627, 0.879)
Rh (0.000, 0.000, 0.000)
Rh (0.254, 0.254, 0.762)
Rh (0.746, 0.746, 0.238)

Properties
* total moment: 0.00 Bohr magnetons per cell
* distance to the lowest polymorph of the same formula: 0.000 eV per atom

=====

Result set for total energy: -21.06, -58.17, -21.31, -20.78, -23.21, -22.76, -112.17, -98.08, -40.97, -68.58, -42.93, -22.45, -46.75, -91.20, -45.12, -21.58, -27.22, -72.57, -18.15, -36.40, -36.46, -18.02, -86.45, -26.59, -45.89 eV/cell, one per record in the order listed.
Result set for DFT formation energy: -184, -323, -231, -181, -223, -179, -480, -457, -507, -688, -418, -115, -331, -148, -452, -31, -321, -154, -155, -160, -163, -143, -615, -59, -526 kJ/mol of formula units, one per record in the order listed.